Model i:
Compound: Ba6TlPt
Source: the Alexandria database
Functional: GGA-PBE
Structure: relaxed

Properties
Density of states at the Fermi level = 8.4 states/eV/f.u.
Symmetry = R-3, No. 148

```
8
Lattice="4.063 2.346 7.692 -4.063 2.346 7.692 0.000 -4.692 7.692" Properties=species:S:1:pos:R:3 pbc="T T T"
Ba -2.549 -0.127 9.679
Ba -1.164 -2.271 13.396
Ba 1.385 -2.144 9.679
Ba -1.385 2.144 13.396
Ba 1.164 2.271 9.679
Ba 2.549 0.127 13.396
Tl 0.000 0.000 0.000
Pt 0.000 0.000 11.538
```


Model ii:
Compound: Ba6TlPt
Source: the Alexandria database
Functional: GGA-PBE
Structure: relaxed

Properties
Density of states at the Fermi level = 9.0 states/eV/f.u.
Symmetry = C2/m, No. 12

```
8
Lattice="4.249 -6.729 0.000 4.249 6.729 0.000 -2.195 0.000 7.774" Properties=species:S:1:pos:R:3 pbc="T T T"
Ba 1.173 2.187 1.922
Ba 0.485 0.000 6.101
Ba 1.173 -2.187 1.922
Ba 5.130 2.187 5.852
Ba 5.817 0.000 1.673
Ba 5.130 -2.187 5.852
Tl 3.151 0.000 3.887
Pt 0.000 0.000 0.000
```


Least stable: model ii


Model i:
Compound: BaTl3Pt2
Source: the Alexandria database
Functional: GGA-PBE
Structure: relaxed

Properties
Density of states at the Fermi level = 3.0 states/eV/f.u.
Symmetry = C2/m, No. 12

```
18
Lattice="9.351 -2.241 0.000 9.351 2.241 0.000 -3.265 0.000 11.455" Properties=species:S:1:pos:R:3 pbc="T T T"
Ba 0.000 0.000 0.000
Ba 0.649 0.000 8.152
Ba 14.788 0.000 3.303
Tl -0.375 0.000 3.824
Tl 2.839 0.000 4.483
Tl 5.962 0.000 0.431
Tl 4.433 0.000 9.151
Tl 7.718 0.000 5.728
Tl 11.004 0.000 2.304
Tl 9.475 0.000 11.024
Tl 12.598 0.000 6.972
Tl 15.812 0.000 7.631
Pt 3.294 0.000 1.528
Pt 4.974 0.000 6.267
Pt 8.060 0.000 2.296
Pt 7.377 0.000 9.159
Pt 10.463 0.000 5.188
Pt 12.143 0.000 9.927
```


Model ii:
Compound: BaTl3Pt2
Source: the Alexandria database
Functional: GGA-PBE
Structure: relaxed

Properties
Density of states at the Fermi level = 2.6 states/eV/f.u.
Symmetry = R-3m, No. 166

```
12
Lattice="4.287 2.475 5.810 -4.287 2.475 5.810 0.000 -4.950 5.810" Properties=species:S:1:pos:R:3 pbc="T T T"
Ba 0.000 0.000 3.910
Ba 0.000 0.000 13.522
Tl 0.000 -2.374 7.188
Tl -2.056 1.187 7.188
Tl -2.056 -1.187 10.243
Tl 2.056 1.187 7.188
Tl 2.056 -1.187 10.243
Tl 0.000 2.374 10.243
Pt 0.000 0.000 0.000
Pt -2.144 -1.238 5.810
Pt -2.144 1.238 11.621
Pt 0.000 2.475 5.810
```


Least stable: model ii